Density functional theory data (PBE+U) for KCr2FeHO8 after structural relaxation.

The total energy comes out at -6.31 eV/atom.

The structure belongs to space group P2_1/m (No. 11); the cell edges are 7.795, 5.531 and 9.951 Å and the angles 90.00°, 93.81° and 90.00°. The distinct sites, in fractional coordinates, are K at (0.023, 0.250, 0.180), Cr at (0.266, 0.750, 0.379), Cr at (0.267, 0.250, 0.890), Fe at (0.499, 0.750, 0.770), H at (0.244, 0.750, 0.609), O at (0.059, 0.250, 0.913), O at (0.060, 0.750, 0.379), O at (0.312, 0.000, 0.803), O at (0.332, 0.504, 0.304), O at (0.344, 0.750, 0.555) and O at (0.373, 0.250, 0.040).